*A*
First-principles (PBE) data for a relaxed structure of SrCdCl, as listed in the Alexandria database.

Values from the calculation:
* spin magnetization: 0.000 μB/atom
* DOS(E_F): 2.98 states/eV per cell
* theoretical density: 3.729 g cm⁻³

Cell: 5.416 5.441 14.235 Å, 90.00 90.00 90.00°
Space group Fmm2 (No. 42)
Asymmetric unit:
Sr  0.000  0.000  0.000 (multiplicity 4)
Cd  0.000  0.000  0.656 (multiplicity 4)
Cl  0.000  0.000  0.404 (multiplicity 4)

*B*
First-principles (PBE) data for a relaxed structure of SrCdCl, as listed in the Alexandria database.

Values from the calculation:
* spin magnetization: 0.024 μB/atom
* DOS(E_F): 2.16 states/eV per cell
* theoretical density: 3.742 g cm⁻³

Cell: 5.0248 5.0248 4.7793 Å, 90.00 90.00 120.00°
Space group P-6m2 (No. 187)
Asymmetric unit:
Sr  0.0000  0.0000  0.0000 (multiplicity 1)
Cd  0.6667  0.3333  0.5000 (multiplicity 1)
Cl  0.3333  0.6667  0.0000 (multiplicity 1)

The structure with the most favorable energy is *A*; the runner-up is 4.6 kJ/mol of atoms above it.

*A*
First-principles (PBE) data for a relaxed structure of SrCdCl, as listed in the Alexandria database.

Values from the calculation:
* spin magnetization: 0.000 μB/atom
* DOS(E_F): 12.58 states/eV per cell
* theoretical density: 3.572 g cm⁻³

Cell: 7.594 7.594 7.594 Å, 90.00 90.00 90.00°
Space group F-43m (No. 216)
Asymmetric unit:
Sr  0.000  0.000  0.000 (multiplicity 4)
Cd  0.250  0.250  0.250 (multiplicity 4)
Cl  0.250  0.250  0.750 (multiplicity 4)

*B*
First-principles (PBE) data for a relaxed structure of SrCdCl, as listed in the Alexandria database.

Values from the calculation:
* spin magnetization: 0.197 μB/atom
* DOS(E_F): 6.64 states/eV per cell
* theoretical density: 3.951 g cm⁻³

Cell: 7.343 7.343 7.343 Å, 90.00 90.00 90.00°
Space group F-43m (No. 216)
Asymmetric unit:
Sr  0.000  0.000  0.000 (multiplicity 4)
Cd  0.000  0.000  0.500 (multiplicity 4)
Cl  0.250  0.250  0.750 (multiplicity 4)

*C*
First-principles (PBE) data for a relaxed structure of SrCdCl, as listed in the Alexandria database.

Values from the calculation:
* spin magnetization: 0.000 μB/atom
* DOS(E_F): 4.24 states/eV per cell
* theoretical density: 3.237 g cm⁻³

Cell: 15.393 4.262 7.364 Å, 90.00 90.00 90.00°
Space group Amm2 (No. 38)
Asymmetric unit:
Sr  0.165  0.000  0.000 (multiplicity 4)
Cd  0.000  0.000  0.666 (multiplicity 2)
Cd  0.500  0.000  0.995 (multiplicity 2)
Cl  0.266  0.000  0.666 (multiplicity 4)

The structure with the most favorable energy is *C*; the runner-up is 21.5 kJ/mol of atoms above it.